Material: Tb4PuTe5
Method: DFT, PBE
State: relaxed

Summary:
* total DFT energy (no corrections): -6.132 eV per atom
* E above lowest polymorph: 0.10 eV/f.u.
* formation energy (no corrections): -1.276 eV/atom

Geometry as CIF:
```
data_Tb4PuTe5
_chemical_formula_sum 'Tb8 Pu2 Te10'
_space_group_name_H-M_alt 'I 4/m m m'
_space_group_IT_number 139
_space_group_name_Hall '-I 4 2'
_cell_length_a 4.387
_cell_length_b 4.387
_cell_length_c 30.954
_cell_angle_alpha 90.00
_cell_angle_beta 90.00
_cell_angle_gamma 90.00
loop_
_atom_site_label
_atom_site_fract_x
_atom_site_fract_y
_atom_site_fract_z
Tb1 0.000 0.000 0.099
Tb2 0.000 0.000 0.299
Pu1 0.000 0.000 0.500
Te1 0.000 0.000 0.000
Te2 0.000 0.000 0.199
Te3 0.000 0.000 0.399
```